Dy2Ho3Er3: optimized geometry, GGA-PBE.

abc: 6.3719 6.3719 6.3719
angles: 95.67 95.67 95.67
Closest atoms and distances in Å follow each position.
Fractional positions:
Dy 0.1972 0.1972 0.1972  3 Er 3.39, 6 Ho 3.53
Dy 0.8028 0.8028 0.8028  3 Er 3.39, 6 Ho 3.53
Ho 0.0000 0.6888 0.3112  2 Ho 3.32, 4 Er 3.32-3.57, 4 Dy 3.53
Ho 0.3112 0.0000 0.6888  2 Ho 3.32, 4 Er 3.32-3.57, 4 Dy 3.53
Ho 0.6888 0.3112 0.0000  2 Ho 3.32, 4 Er 3.32-3.57, 4 Dy 3.53
Er 0.2115 0.5000 0.7885  4 Ho 3.32-3.57, 2 Er 3.38, 2 Dy 3.39
Er 0.5000 0.7885 0.2115  4 Ho 3.32-3.57, 2 Er 3.38, 2 Dy 3.39
Er 0.7885 0.2115 0.5000  4 Ho 3.32-3.57, 2 Er 3.38, 2 Dy 3.39

Values from the calculation:
Crystal system = trigonal
Spin magnetization = 0.0 μB per cell
Relative energy among the computed polymorphs = 0.125 eV/atom
Formation energy from the elements = 0.147 eV per atom


UTiAlV: optimized geometry, GGA-PBE.

abc: 6.4037 6.4037 6.4037
angles: 90.00 90.00 90.00
Closest atoms and distances in Å follow each position.
Fractional positions:
U 0.0000 0.0000 0.0000  4 Ti 2.77, 4 V 2.77
U 0.0000 0.5000 0.5000  4 Ti 2.77, 4 V 2.77
U 0.5000 0.0000 0.5000  4 Ti 2.77, 4 V 2.77
U 0.5000 0.5000 0.0000  4 Ti 2.77, 4 V 2.77
Ti 0.2500 0.2500 0.7500  4 U 2.77, 4 Al 2.77
Ti 0.2500 0.7500 0.2500  4 U 2.77, 4 Al 2.77
Ti 0.7500 0.2500 0.2500  4 U 2.77, 4 Al 2.77
Ti 0.7500 0.7500 0.7500  4 U 2.77, 4 Al 2.77
Al 0.0000 0.0000 0.5000  4 Ti 2.77, 4 V 2.77
Al 0.0000 0.5000 0.0000  4 Ti 2.77, 4 V 2.77
Al 0.5000 0.0000 0.0000  4 Ti 2.77, 4 V 2.77
Al 0.5000 0.5000 0.5000  4 V 2.77, 4 Ti 2.77
V 0.2500 0.2500 0.2500  4 U 2.77, 4 Al 2.77
V 0.2500 0.7500 0.7500  4 U 2.77, 4 Al 2.77
V 0.7500 0.2500 0.7500  4 U 2.77, 4 Al 2.77
V 0.7500 0.7500 0.2500  4 U 2.77, 4 Al 2.77

Values from the calculation:
Crystal system = cubic
Spin magnetization = 0.0 μB per cell
Formation energy from the elements = 0.000 eV per atom


BaTlBi2Rh: optimized geometry, GGA-PBE.

abc: 5.2409 5.2409 6.2967
angles: 90.00 90.00 90.00
Closest atoms and distances in Å follow each position.
Fractional positions:
Ba 0.0000 0.0000 0.0000  1 Rh 2.92
Tl 0.5000 0.5000 0.1114  4 Bi 3.36
Bi 0.0000 0.5000 0.4445  2 Rh 2.68
Bi 0.5000 0.0000 0.4445  2 Rh 2.68
Rh 0.0000 0.0000 0.5365  4 Bi 2.68, 1 Ba 2.92

Values from the calculation:
Crystal system = tetragonal
Spin magnetization = 0.0 μB per cell
Relative energy among the computed polymorphs = 0.000 eV/atom
Formation energy from the elements = -0.237 eV per atom